1.
Computed, not measured: BaTa2Fe after structural relaxation at the GGA-PBE level of DFT.

## Properties
total energy: -0.2819 Ha/atom
theoretical density: 10.73 g cm⁻³
energy of formation: 0.85 eV per atom

Lattice parameters (Å, degrees): 2.9920 5.4274 10.5817 90.00 90.00 90.00
Space group Immm (No. 71)
One atom of each set of equivalent atoms:
Ba  0.0000  0.0000  0.0000 (multiplicity 2)
Ta  0.0000  0.5000  0.1923 (multiplicity 4)
Fe  0.0000  0.0000  0.5000 (multiplicity 2)

2.
Computed, not measured: Ba2TaFe after structural relaxation at the GGA-PBE level of DFT.

## Properties
total energy: -0.1734 Ha/atom
theoretical density: 7.57 g cm⁻³
energy of formation: 1.32 eV per atom

Lattice parameters (Å, degrees): 3.4258 3.4258 33.0963 90.00 90.00 120.00
Space group R-3m (No. 166, hexagonal axes)
One atom of each set of equivalent atoms:
Ba  0.0000  0.0000  0.2468 (multiplicity 6)
Ta  0.0000  0.0000  0.0000 (multiplicity 3)
Fe  0.0000  0.0000  0.5000 (multiplicity 3)

3.
Computed, not measured: Ba2TaFe after structural relaxation at the GGA-PBE level of DFT.

## Properties
total energy: -0.1718 Ha/atom
theoretical density: 7.48 g cm⁻³
energy of formation: 1.36 eV per atom

Lattice parameters (Å, degrees): 4.6307 4.6307 10.5913 90.00 90.00 90.00
Space group I4/mmm (No. 139)
One atom of each set of equivalent atoms:
Ba  0.0000  0.5000  0.2500 (multiplicity 4)
Ta  0.0000  0.0000  0.0000 (multiplicity 2)
Fe  0.0000  0.0000  0.5000 (multiplicity 2)

4.
Computed, not measured: Ba2TaFe after structural relaxation at the GGA-PBE level of DFT.

## Properties
total energy: -0.1718 Ha/atom
theoretical density: 7.56 g cm⁻³
energy of formation: 1.37 eV per atom

Lattice parameters (Å, degrees): 4.5897 4.5897 5.3299 90.00 90.00 90.00
Space group P4/mmm (No. 123)
One atom of each set of equivalent atoms:
Ba  0.0000  0.5000  0.0000 (multiplicity 2)
Ta  0.0000  0.0000  0.5000 (multiplicity 1)
Fe  0.5000  0.5000  0.5000 (multiplicity 1)

5.
Computed, not measured: BaTaFe after structural relaxation at the GGA-PBE level of DFT.

## Properties
total energy: -0.2410 Ha/atom
theoretical density: 8.42 g cm⁻³
energy of formation: 0.86 eV per atom

Lattice parameters (Å, degrees): 3.5411 3.5411 6.7942 90.00 90.00 120.00
Space group P3m1 (No. 156)
One atom of each set of equivalent atoms:
Ba  0.0000  0.0000  0.0000 (multiplicity 1)
Ta  0.3333  0.6667  0.5354 (multiplicity 1)
Fe  0.6667  0.3333  0.3523 (multiplicity 1)

6.
Computed, not measured: BaTa2Fe after structural relaxation at the GGA-PBE level of DFT.

## Properties
total energy: -0.2949 Ha/atom
theoretical density: 9.30 g cm⁻³
energy of formation: 0.50 eV per atom

Lattice parameters (Å, degrees): 3.9764 3.9764 21.7211 90.00 90.00 120.00
Space group R-3m (No. 166, hexagonal axes)
One atom of each set of equivalent atoms:
Ba  0.0000  0.0000  0.0000 (multiplicity 3)
Ta  0.0000  0.0000  0.2078 (multiplicity 6)
Fe  0.0000  0.0000  0.5000 (multiplicity 3)

7.
Computed, not measured: BaTa3Fe after structural relaxation at the GGA-PBE level of DFT.

## Properties
total energy: -0.3031 Ha/atom
theoretical density: 11.01 g cm⁻³
energy of formation: 0.94 eV per atom

Lattice parameters (Å, degrees): 4.8061 4.8061 4.8061 90.00 90.00 90.00
Space group Pm-3m (No. 221)
One atom of each set of equivalent atoms:
Ba  0.0000  0.0000  0.0000 (multiplicity 1)
Ta  0.0000  0.5000  0.5000 (multiplicity 3)
Fe  0.5000  0.5000  0.5000 (multiplicity 1)

8.
Computed, not measured: Ba2TaFe after structural relaxation at the GGA-PBE level of DFT.

## Properties
total energy: -0.1733 Ha/atom
theoretical density: 7.12 g cm⁻³
energy of formation: 1.33 eV per atom

Lattice parameters (Å, degrees): 5.9302 5.9302 3.3922 90.00 90.00 90.00
Space group P4/mmm (No. 123)
One atom of each set of equivalent atoms:
Ba  0.0000  0.5000  0.0000 (multiplicity 2)
Ta  0.0000  0.0000  0.5000 (multiplicity 1)
Fe  0.5000  0.5000  0.5000 (multiplicity 1)

9.
Computed, not measured: BaTaFe2 after structural relaxation at the GGA-PBE level of DFT.

## Properties
total energy: -0.2665 Ha/atom
theoretical density: 8.64 g cm⁻³
energy of formation: 0.42 eV per atom

Lattice parameters (Å, degrees): 3.3081 3.3081 7.5485 90.00 90.00 90.00
Space group P4/mmm (No. 123)
One atom of each set of equivalent atoms:
Ba  0.0000  0.0000  0.0000 (multiplicity 1)
Ta  0.0000  0.0000  0.5000 (multiplicity 1)
Fe  0.5000  0.5000  0.3431 (multiplicity 2)

10.
Computed, not measured: BaTa3Fe after structural relaxation at the GGA-PBE level of DFT.

## Properties
total energy: -0.2089 Ha/atom
theoretical density: 9.76 g cm⁻³
energy of formation: 3.51 eV per atom

Lattice parameters (Å, degrees): 5.0024 5.0024 5.0024 90.00 90.00 90.00
Space group Pm-3m (No. 221)
One atom of each set of equivalent atoms:
Ba  0.0000  0.0000  0.0000 (multiplicity 1)
Ta  0.0000  0.0000  0.5000 (multiplicity 3)
Fe  0.5000  0.5000  0.5000 (multiplicity 1)

11.
Computed, not measured: BaTa2VFe after structural relaxation at the GGA-PBE level of DFT.

## Properties
total energy: -0.2718 Ha/atom
theoretical density: 9.26 g cm⁻³
energy of formation: 1.25 eV per atom

Lattice parameters (Å, degrees): 4.8463 4.8463 4.6283 90.00 90.00 90.00
Space group P4/mmm (No. 123)
One atom of each set of equivalent atoms:
Ba  0.0000  0.0000  0.0000 (multiplicity 1)
Ta  0.0000  0.5000  0.5000 (multiplicity 2)
V  0.5000  0.5000  0.5000 (multiplicity 1)
Fe  0.5000  0.5000  0.0000 (multiplicity 1)

12.
Computed, not measured: BaTaZnFe2 after structural relaxation at the GGA-PBE level of DFT.

## Properties
total energy: -0.2011 Ha/atom
theoretical density: 7.24 g cm⁻³
energy of formation: 0.92 eV per atom

Lattice parameters (Å, degrees): 4.6281 4.6281 5.3033 90.00 90.00 90.00
Space group P4/mmm (No. 123)
One atom of each set of equivalent atoms:
Ba  0.0000  0.0000  0.0000 (multiplicity 1)
Ta  0.5000  0.5000  0.5000 (multiplicity 1)
Zn  0.5000  0.5000  0.0000 (multiplicity 1)
Fe  0.0000  0.5000  0.5000 (multiplicity 2)